(1)
## La2NdCu (GGA-PBE)

Data for crystalline La2NdCu at its relaxed geometry.

extended XYZ file:
```
4
Lattice="-1.139 3.153 -1.816 -2.178 -0.277 -3.118 -9.404 1.284 4.125" Properties=species:S:1:pos:R:3 pbc="T T T"
Cu -11.604 3.201 0.827
Nd -6.377 2.081 -0.393
La -7.719 1.218 2.953
La -2.787 1.025 -0.476
```

Summary:
Excess energy over the best structure of this formula in the dataset = 0.45 eV/f.u.
Energy of formation from the pure elements = 0.050 eV/atom

(2)
## Nd4PtRh (GGA-PBE)

Data for crystalline Nd4PtRh at its relaxed geometry.

extended XYZ file:
```
12
Lattice="7.074 -0.007 -0.003 -0.006 7.067 -0.301 -3.536 -3.218 7.264" Properties=species:S:1:pos:R:3 pbc="T T T"
Nd 3.799 3.532 5.211
Nd 0.247 3.843 1.603
Nd 3.787 3.322 1.607
Nd -0.255 0.520 5.354
Nd 3.285 -0.001 5.358
Nd 0.264 4.055 5.210
Nd 3.269 -0.212 1.751
Nd -0.266 0.311 1.750
Pt 5.308 5.294 -0.227
Pt -1.776 -1.452 7.188
Rh 1.769 -1.612 3.631
Rh -1.771 1.925 3.482
```

Summary:
Excess energy over the best structure of this formula in the dataset = 0.06 eV/f.u.
Energy of formation from the pure elements = -0.595 eV/atom

(3)
## CoCu2HgGe (GGA-PBE)

Data for crystalline CoCu2HgGe at its relaxed geometry.

extended XYZ file:
```
5
Lattice="4.779 0.000 0.000 0.000 4.855 0.000 0.000 0.000 4.779" Properties=species:S:1:pos:R:3 pbc="T T T"
Ge 2.390 2.427 2.390
Cu 2.390 0.000 0.000
Cu 0.000 0.000 2.390
Co 0.000 2.427 0.000
Hg 0.000 0.000 0.000
```

Summary:
Energy of formation from the pure elements = 1.208 eV/atom

(4)
## LaIn3Ag (GGA-PBE)

Data for crystalline LaIn3Ag at its relaxed geometry.

extended XYZ file:
```
5
Lattice="0.926 4.335 1.288 1.714 -1.554 3.993 6.875 0.961 0.087" Properties=species:S:1:pos:R:3 pbc="T T T"
In 5.068 1.721 4.659
In 2.494 2.632 3.452
In 3.747 0.331 2.018
Ag 6.040 -0.557 3.355
La 6.958 2.287 1.402
```

Summary:
Excess energy over the best structure of this formula in the dataset = 0.00 eV/f.u.
Energy of formation from the pure elements = -0.348 eV/atom

Number 1: size of the total moment 0.00 μB/atom. Number 2: size of the total moment 0.00 μB/atom. Number 3: size of the total moment 0.33 μB/atom. Number 4: size of the total moment 0.00 μB/atom.